(1)
A relaxed structure of K2BeZnSb. Source: the Alexandria database, functional PBE.

Computed properties:
The calculation puts the magnetization at 0.06 μB per atom. The space group is No. 123. Its raw formation energy is 0.528 eV/atom.

Cell and atoms, written as POSCAR:
```
K2BeZnSb
1.0
6.787 0.000 0.000
0.000 6.787 0.000
0.000 0.000 5.263
K Be Zn Sb
2 1 1 1
Direct
0.000 0.500 0.000 K
0.500 0.000 0.000 K
0.000 0.000 0.500 Be
0.500 0.500 0.500 Zn
0.500 0.500 0.000 Sb
```

=====

(2)
A relaxed structure of ErHfAl. Source: the Alexandria database, functional PBE.

Computed properties:
The formation enthalpy at 0 K comes out at -37 meV/atom. The calculation puts the magnetization at 0.00 μB per atom. The space group is No. 156. As for the excess energy over the best structure of this formula in the dataset: 0.158 eV per atom.

Cell and atoms, written as POSCAR:
```
ErHfAl
1.0
4.876 0.000 0.000
-2.438 4.223 0.000
0.000 0.000 3.376
Er Hf Al
1 1 1
Direct
0.000 0.000 0.000 Er
0.333 0.667 0.463 Hf
0.667 0.333 0.613 Al
```

=====

(3)
A relaxed structure of LiAgSn2Cl6. Source: the Alexandria database, functional PBE.

Computed properties:
The calculation puts the magnetization at 0.00 μB per atom. The space group is No. 1. Its raw formation energy is -1.044 eV/atom.

Cell and atoms, written as POSCAR:
```
LiAgSn2Cl6
1.0
7.140 0.000 0.000
-3.565 6.190 0.000
-3.566 -2.064 6.268
Li Ag Sn Cl
1 1 2 6
Direct
0.000 0.000 0.000 Li
0.980 0.490 0.471 Ag
0.378 0.689 0.068 Sn
0.389 0.195 0.584 Sn
0.152 0.279 0.811 Cl
0.173 0.368 0.304 Cl
0.499 0.131 0.304 Cl
0.532 0.873 0.811 Cl
0.936 0.805 0.304 Cl
0.938 0.658 0.811 Cl
```

=====

(4)
A relaxed structure of BaNpB2O8. Source: the Alexandria database, functional PBE.

Computed properties:
The calculation puts the magnetization at 0.09 μB per atom. The space group is No. 12. Its raw formation energy is -2.323 eV/atom.

Cell and atoms, written as POSCAR:
```
BaNpB2O8
1.0
4.149 -2.606 0.000
4.149 2.606 0.000
-0.394 0.000 7.927
Ba Np B O
1 1 2 8
Direct
0.000 0.000 0.000 Ba
0.000 0.000 0.500 Np
0.363 0.363 0.720 B
0.637 0.637 0.280 B
0.226 0.226 0.579 O
0.226 0.692 0.687 O
0.308 0.774 0.313 O
0.310 0.310 0.884 O
0.690 0.690 0.116 O
0.692 0.226 0.687 O
0.774 0.308 0.313 O
0.774 0.774 0.421 O
```

=====

(5)
A relaxed structure of Ba2Li5Sb3. Source: the Alexandria database, functional PBE.

Computed properties:
The calculation puts the magnetization at 0.00 μB per atom. The space group is No. 36. Its raw formation energy is -0.761 eV/atom.

Cell and atoms, written as POSCAR:
```
Ba2Li5Sb3
1.0
2.430 -14.432 0.000
2.430 14.432 0.000
0.000 0.000 7.928
Ba Li Sb
4 10 6
Direct
0.022 0.978 0.500 Ba
0.327 0.673 0.491 Ba
0.673 0.327 0.991 Ba
0.978 0.022 0.000 Ba
0.088 0.912 0.892 Li
0.204 0.796 0.362 Li
0.232 0.768 0.732 Li
0.370 0.630 0.970 Li
0.439 0.561 0.652 Li
0.561 0.439 0.152 Li
0.630 0.370 0.470 Li
0.768 0.232 0.232 Li
0.796 0.204 0.862 Li
0.912 0.088 0.392 Li
0.112 0.888 0.230 Sb
0.270 0.730 0.059 Sb
0.445 0.555 0.281 Sb
0.555 0.445 0.781 Sb
0.730 0.270 0.559 Sb
0.888 0.112 0.730 Sb
```

=====

(6)
A relaxed structure of Li2La3Tl4. Source: the Alexandria database, functional PBE.

Computed properties:
The formation enthalpy at 0 K comes out at -366 meV/atom. The calculation puts the magnetization at 0.00 μB per atom. The space group is No. 12. As for the excess energy over the best structure of this formula in the dataset: 0.000 eV per atom.

Cell and atoms, written as POSCAR:
```
Li2La3Tl4
1.0
5.712 -2.544 0.000
5.712 2.544 0.000
-4.435 0.000 8.599
Li La Tl
2 3 4
Direct
0.111 0.111 0.282 Li
0.889 0.889 0.718 Li
0.162 0.162 0.658 La
0.500 0.500 0.000 La
0.838 0.838 0.342 La
0.233 0.233 0.083 Tl
0.448 0.448 0.626 Tl
0.552 0.552 0.374 Tl
0.767 0.767 0.917 Tl
```